[1]
Compound: Ag2Br13
Source: Alexandria via LeMat-Bulk
Functional: PBE
Structure: optimized geometry

Spin magnetization (μB/cell): 0.0
Calculated total energy (eV/atom): -1.873
Calculated density (g cm⁻³): 3.55

```
data_Ag2Br13
_cell_length_a 7.348
_cell_length_b 8.517
_cell_length_c 10.498
_cell_angle_alpha 99.46
_cell_angle_beta 97.22
_cell_angle_gamma 112.46
_space_group_name_H-M_alt 'P -1'
_space_group_IT_number 2
loop_
_space_group_symop_operation_xyz
'x,y,z'
'-x,-y,-z'
loop_
_atom_site_label
_atom_site_type_symbol
_atom_site_fract_x
_atom_site_fract_y
_atom_site_fract_z
Ag1 Ag 0.159 0.349 0.155
Br1 Br 0.000 0.500 0.000
Br2 Br 0.123 0.633 0.458
Br3 Br 0.142 0.897 0.371
Br4 Br 0.219 0.859 0.920
Br5 Br 0.305 0.188 0.304
Br6 Br 0.342 0.144 0.850
Br7 Br 0.467 0.444 0.778
```

[2]
Compound: TaAlHg3
Source: Alexandria via LeMat-Bulk
Functional: PBE
Structure: optimized geometry

Spin magnetization (μB/cell): 0.0
Calculated density (g cm⁻³): 11.05
Distance to the lowest polymorph of the same formula (meV/atom): 162

```
data_TaAlHg3
_cell_length_a 4.955
_cell_length_b 4.955
_cell_length_c 4.955
_cell_angle_alpha 90.00
_cell_angle_beta 90.00
_cell_angle_gamma 90.00
_space_group_name_H-M_alt 'P m -3 m'
_space_group_IT_number 221
_space_group_name_Hall '-P 4 2 3'
loop_
_atom_site_label
_atom_site_type_symbol
_atom_site_fract_x
_atom_site_fract_y
_atom_site_fract_z
Ta1 Ta 0.000 0.000 0.000
Al1 Al 0.500 0.500 0.500
Hg1 Hg 0.000 0.500 0.500
```

[3]
Compound: Ni6Au2SN
Source: Alexandria via LeMat-Bulk
Functional: PBE
Structure: optimized geometry

Spin magnetization (μB/cell): 0.0
Calculated total energy (eV/atom): -5.416
Calculated density (g cm⁻³): 10.50

```
data_Ni6Au2SN
_cell_length_a 9.497
_cell_length_b 5.466
_cell_length_c 5.778
_cell_angle_alpha 90.00
_cell_angle_beta 123.31
_cell_angle_gamma 90.00
_space_group_name_H-M_alt 'C 1 2/m 1'
_space_group_IT_number 12
loop_
_space_group_symop_operation_xyz
'x,y,z'
'-x,-y,-z'
'-x,y,-z'
'x,-y,z'
'x+1/2,y+1/2,z'
'-x+1/2,-y+1/2,-z'
'-x+1/2,y+1/2,-z'
'x+1/2,-y+1/2,z'
loop_
_atom_site_label
_atom_site_type_symbol
_atom_site_fract_x
_atom_site_fract_y
_atom_site_fract_z
Ni1 Ni 0.013 0.248 0.288
Ni2 Ni 0.237 0.000 0.712
Au1 Au 0.239 0.000 0.215
S1 S 0.000 0.500 0.000
N1 N 0.000 0.000 0.500
```

[4]
Compound: LiMoBr3
Source: Alexandria via LeMat-Bulk
Functional: PBE
Structure: optimized geometry

Spin magnetization (μB/cell): 4.0
Calculated density (g cm⁻³): 3.60
Distance to the lowest polymorph of the same formula (meV/atom): 0

```
data_LiMoBr3
_cell_length_a 5.405
_cell_length_b 5.405
_cell_length_c 5.405
_cell_angle_alpha 90.00
_cell_angle_beta 90.00
_cell_angle_gamma 90.00
_space_group_name_H-M_alt 'P m -3 m'
_space_group_IT_number 221
_space_group_name_Hall '-P 4 2 3'
loop_
_atom_site_label
_atom_site_type_symbol
_atom_site_fract_x
_atom_site_fract_y
_atom_site_fract_z
Li1 Li 0.000 0.000 0.000
Mo1 Mo 0.500 0.500 0.500
Br1 Br 0.000 0.500 0.500
```